Density functional theory data (GGA-PBE) for an optimized crystal structure of RbSi2TeH.

a b c (Å): 5.8294 3.8768 5.8294
angles (deg): 90.00 90.00 90.00
With the nearest neighbours (Å) after each atom.
Atoms (fractional coordinates):
H 0.0000 0.5000 0.0000  2 Te 1.94
Si 0.0000 0.0000 0.5000  2 Te 2.91
Si 0.5000 0.0000 0.0000  2 Te 2.91
Te 0.0000 0.0000 0.0000  2 H 1.94
Rb 0.5000 0.5000 0.5000  8 Si 3.50, 2 Rb 3.88

Calculated values
DOS at the Fermi energy	3.16	states/eV per cell
final energy	-2.9008	eV/atom
SG	No. 123